1.
First-principles (PBE-GGA) data for a relaxed HoZr3Pd12 crystal, as listed in Alexandria.

```
data_HoZr3Pd12
_cell_length_a 4.050
_cell_length_b 4.050
_cell_length_c 16.235
_cell_angle_alpha 90.00
_cell_angle_beta 90.00
_cell_angle_gamma 90.00
_space_group_name_H-M_alt 'P 4/m m m'
_space_group_IT_number 123
_space_group_name_Hall '-P 4 2'
loop_
_atom_site_label
_atom_site_fract_x
_atom_site_fract_y
_atom_site_fract_z
Ho1 0.000 0.000 0.000
Zr1 0.000 0.000 0.250
Zr2 0.000 0.000 0.500
Pd1 0.000 0.500 0.130
Pd2 0.000 0.500 0.377
Pd3 0.500 0.500 0.000
Pd4 0.500 0.500 0.254
Pd5 0.500 0.500 0.500
```

Computed properties:
Density of states at the Fermi level, states/eV per cell: 1.992
Energy relative to the elements, eV/atom: -0.848


2.
First-principles (PBE-GGA) data for a relaxed CaReN3 crystal, as listed in Alexandria.

```
data_CaReN3
_cell_length_a 5.598
_cell_length_b 5.767
_cell_length_c 6.033
_cell_angle_alpha 113.69
_cell_angle_beta 116.94
_cell_angle_gamma 93.51
_space_group_name_H-M_alt 'P 1'
_space_group_IT_number 1
loop_
_space_group_symop_operation_xyz
'x,y,z'
loop_
_atom_site_label
_atom_site_fract_x
_atom_site_fract_y
_atom_site_fract_z
Ca1 0.000 0.000 0.000
Ca2 0.336 0.669 0.419
Re1 0.366 0.416 0.817
Re2 0.814 0.330 0.584
N1 0.069 0.305 0.428
N2 0.166 0.621 0.959
N3 0.497 0.179 0.956
N4 0.498 0.291 0.205
N5 0.638 0.576 0.784
N6 0.721 0.033 0.581
```

Computed properties:
Density of states at the Fermi level, states/eV per cell: 0.000
Formation energy from raw total energies, eV/atom: -0.288


3.
First-principles (PBE-GGA) data for a relaxed AcCdFeH6 crystal, as listed in Alexandria.

```
data_AcCdFeH6
_cell_length_a 4.7951
_cell_length_b 4.7951
_cell_length_c 4.5742
_cell_angle_alpha 90.00
_cell_angle_beta 90.00
_cell_angle_gamma 120.00
_space_group_name_H-M_alt 'P -6 m 2'
_space_group_IT_number 187
_space_group_name_Hall 'P -6 2'
loop_
_atom_site_label
_atom_site_fract_x
_atom_site_fract_y
_atom_site_fract_z
Ac1 0.0000 0.0000 0.0000
Cd1 0.6667 0.3333 0.5000
Fe1 0.3333 0.6667 0.5000
H1 0.0646 0.5323 0.2447
```

Computed properties:
Density of states at the Fermi level, states/eV per cell: 2.225
Energy, eV per atom: -3.93


4.
First-principles (PBE-GGA) data for a relaxed ZnRe2Pt crystal, as listed in Alexandria.

```
data_ZnRe2Pt
_cell_length_a 4.740
_cell_length_b 4.740
_cell_length_c 2.687
_cell_angle_alpha 90.00
_cell_angle_beta 90.00
_cell_angle_gamma 90.00
_space_group_name_H-M_alt 'P 4/m m m'
_space_group_IT_number 123
_space_group_name_Hall '-P 4 2'
loop_
_atom_site_label
_atom_site_fract_x
_atom_site_fract_y
_atom_site_fract_z
Zn1 0.000 0.000 0.000
Re1 0.000 0.500 0.500
Pt1 0.500 0.500 0.000
```

Computed properties:
Density of states at the Fermi level, states/eV per cell: 4.031
Energy relative to the elements, eV/atom: 0.408


5.
First-principles (PBE-GGA) data for a relaxed Er2B2PdRh5 crystal, as listed in Alexandria.

```
data_Er2B2PdRh5
_cell_length_a 9.491
_cell_length_b 9.491
_cell_length_c 3.226
_cell_angle_alpha 90.00
_cell_angle_beta 90.00
_cell_angle_gamma 90.00
_space_group_name_H-M_alt 'P 4/m b m'
_space_group_IT_number 127
_space_group_name_Hall '-P 4 2ab'
loop_
_atom_site_label
_atom_site_fract_x
_atom_site_fract_y
_atom_site_fract_z
Er1 0.177 0.323 0.000
B1 0.123 0.623 0.000
Pd1 0.000 0.000 0.000
Rh1 0.000 0.500 0.500
Rh2 0.071 0.775 0.500
```

Computed properties:
Density of states at the Fermi level, states/eV per cell: 17.941
Energy relative to the elements, eV/atom: -0.684


6.
First-principles (PBE-GGA) data for a relaxed PaCo2Au crystal, as listed in Alexandria.

```
data_PaCo2Au
_cell_length_a 4.197
_cell_length_b 4.197
_cell_length_c 3.599
_cell_angle_alpha 90.00
_cell_angle_beta 90.00
_cell_angle_gamma 90.00
_space_group_name_H-M_alt 'P 4/m m m'
_space_group_IT_number 123
_space_group_name_Hall '-P 4 2'
loop_
_atom_site_label
_atom_site_fract_x
_atom_site_fract_y
_atom_site_fract_z
Pa1 0.000 0.000 0.000
Co1 0.000 0.500 0.500
Au1 0.500 0.500 0.000
```

Computed properties:
Density of states at the Fermi level, states/eV per cell: 0.674
Energy relative to the elements, eV/atom: -0.291


7.
First-principles (PBE-GGA) data for a relaxed SmGdCdIr crystal, as listed in Alexandria.

```
data_SmGdCdIr
_cell_length_a 7.236
_cell_length_b 7.236
_cell_length_c 7.236
_cell_angle_alpha 90.00
_cell_angle_beta 90.00
_cell_angle_gamma 90.00
_space_group_name_H-M_alt 'F -4 3 m'
_space_group_IT_number 216
_space_group_name_Hall 'F -4 2 3'
loop_
_atom_site_label
_atom_site_fract_x
_atom_site_fract_y
_atom_site_fract_z
Sm1 0.000 0.000 0.000
Gd1 0.000 0.000 0.500
Cd1 0.250 0.250 0.250
Ir1 0.250 0.250 0.750
```

Computed properties:
Density of states at the Fermi level, states/eV per cell: 10.566
Energy relative to the elements, eV/atom: -0.486


8.
First-principles (PBE-GGA) data for a relaxed InTc3Pb crystal, as listed in Alexandria.

```
data_InTc3Pb
_cell_length_a 4.984
_cell_length_b 4.984
_cell_length_c 4.984
_cell_angle_alpha 90.00
_cell_angle_beta 90.00
_cell_angle_gamma 90.00
_space_group_name_H-M_alt 'P m -3 m'
_space_group_IT_number 221
_space_group_name_Hall '-P 4 2 3'
loop_
_atom_site_label
_atom_site_fract_x
_atom_site_fract_y
_atom_site_fract_z
In1 0.000 0.000 0.000
Tc1 0.000 0.000 0.500
Pb1 0.500 0.500 0.500
```

Computed properties:
Density of states at the Fermi level, states/eV per cell: 8.352
ΔE to the lowest computed polymorph, eV per atom: 0.000
Energy relative to the elements, eV/atom: 2.023